Below is an optimized crystal structure of Pr3ErPt8, with properties calculated at the PBE level.

Calculated values
Energy in eV per atom: -6.662
M_tot in μB per atom: 0.000
Energy relative to the elements in meV/atom: -1059
Space-group type: No. 160
Calculated volume in Å³/cell: 236.45

Lattice parameters (Å, degrees): 5.508 5.508 9.545 73.23 73.23 60.00
Atoms (fractional coordinates):
Pr 0.999 0.999 0.003
Pr 0.501 0.501 0.497
Pr 0.375 0.375 0.875
Pt 0.938 0.938 0.684
Pt 0.440 0.938 0.684
Pt 0.936 0.437 0.190
Pt 0.437 0.936 0.190
Pt 0.938 0.440 0.684
Pt 0.188 0.188 0.437
Pt 0.688 0.688 0.937
Pt 0.437 0.437 0.190
Er 0.874 0.874 0.377